Here is LiZn3 at its PBEsol-relaxed geometry from Alexandria. Energies are from SCAN.

Cell lengths 4.598, 4.598, 2.755 Å; angles 90.00, 90.00, 107.66 degrees
Sites, in units of the cell vectors:
Li: 0.000 0.000 0.000
Zn: 0.000 0.500 0.500
Zn: 0.500 0.000 0.500
Zn: 0.500 0.500 0.000

Computed properties:
Total magnetic moment (μB per cell): 0.00
E_form (eV per atom): -0.11